Version 1
# Pm2HoTh

Pm2HoTh after structural relaxation (PBE-GGA, Alexandria).

Structure (POSCAR):
```
Pm2HoTh
1.0
-0.384 -2.872 -2.143
-1.021 -3.164 1.392
-11.751 0.839 -2.047
Pm Th Ho
2 1 1
Direct
0.751 0.751 0.747
0.249 0.249 0.253
0.500 0.500 0.500
0.000 0.000 0.000
```


Version 2
# Pm2HoTh

Pm2HoTh after structural relaxation (PBE-GGA, Alexandria).

Structure (POSCAR):
```
Pm2HoTh
1.0
-2.952 1.454 1.463
4.709 -8.465 -8.610
0.828 -10.795 3.561
Ho Pm Th
2 4 2
Direct
0.869 0.370 0.260
0.131 0.630 0.740
0.233 0.744 0.000
0.370 0.871 0.257
0.767 0.256 0.000
0.630 0.129 0.743
0.000 0.500 0.500
0.500 0.000 0.500
```


Version 3
# Pm2HoTh

Pm2HoTh after structural relaxation (PBE-GGA, Alexandria).

Structure (POSCAR):
```
Pm2HoTh
1.0
-1.569 -4.789 -2.717
-0.279 -4.953 2.859
-5.086 -2.384 1.107
Pm Th Ho
2 1 1
Direct
0.750 0.750 0.750
0.250 0.250 0.250
0.500 0.500 0.500
0.000 0.000 0.000
```


Quick one: most stable of them? version 2


Version 1
# Pm7Ho2Th2

Pm7Ho2Th2 after structural relaxation (PBE-GGA, Alexandria).

Structure (POSCAR):
```
Pm7Ho2Th2
1.0
5.853 1.063 1.534
0.453 7.955 1.386
0.453 -1.496 7.935
Pm Ho Th
7 2 2
Direct
0.171 0.587 0.056
0.829 0.944 0.413
0.829 0.413 0.944
0.591 0.767 0.767
0.000 0.000 0.000
0.171 0.056 0.587
0.409 0.233 0.233
0.500 0.222 0.778
0.500 0.778 0.222
0.803 0.426 0.426
0.197 0.574 0.574
```


Version 2
# Pm7Ho2Th2

Pm7Ho2Th2 after structural relaxation (PBE-GGA, Alexandria).

Structure (POSCAR):
```
Pm7Ho2Th2
1.0
-2.493 4.465 7.097
0.838 -5.948 0.761
7.892 -2.427 2.890
Pm Th Ho
7 2 2
Direct
0.572 0.347 0.428
0.409 0.189 0.045
0.045 0.811 0.409
0.591 0.811 0.955
0.955 0.189 0.591
0.428 0.653 0.572
0.000 0.000 0.000
0.214 0.500 0.214
0.786 0.500 0.786
0.774 0.146 0.226
0.226 0.854 0.774
```


Quick one: most stable of them? version 1


Version 1
# PmHo2Th

PmHo2Th after structural relaxation (PBE-GGA, Alexandria).

Structure (POSCAR):
```
PmHo2Th
1.0
-2.067 -2.863 0.568
0.894 0.042 3.463
-7.821 6.032 1.946
Ho Pm Th
2 1 1
Direct
0.000 0.000 0.758
0.000 0.000 0.242
0.500 0.500 0.500
0.500 0.500 0.000
```


Version 2
# PmHo2Th

PmHo2Th after structural relaxation (PBE-GGA, Alexandria).

Structure (POSCAR):
```
PmHo2Th
1.0
3.591 0.000 0.000
1.795 3.110 0.000
1.795 1.037 11.512
Ho Th Pm
2 1 1
Direct
0.252 0.252 0.244
0.081 0.081 0.757
0.666 0.666 0.001
0.500 0.500 0.499
```


Quick one: most stable of them? version 2


Version 1
# PmHo2Th

PmHo2Th after structural relaxation (PBE-GGA, Alexandria).

Structure (POSCAR):
```
PmHo2Th
1.0
-3.989 -0.236 -4.040
1.363 -1.717 -5.242
-1.821 -5.035 -1.904
Ho Th Pm
2 1 1
Direct
0.750 0.750 0.750
0.250 0.250 0.250
0.000 0.000 0.000
0.500 0.500 0.500
```


Version 2
# PmHo2Th

PmHo2Th after structural relaxation (PBE-GGA, Alexandria).

Structure (POSCAR):
```
PmHo2Th
1.0
3.388 -0.053 -1.226
-0.164 6.176 -0.730
0.488 1.410 11.908
Pm Ho Th
2 4 2
Direct
0.506 0.302 0.801
0.007 0.802 0.801
0.262 0.136 0.057
0.751 0.469 0.545
0.762 0.636 0.057
0.251 0.969 0.545
0.506 0.802 0.301
0.006 0.302 0.301
```


Version 3
# PmHo2Th

PmHo2Th after structural relaxation (PBE-GGA, Alexandria).

Structure (POSCAR):
```
PmHo2Th
1.0
-4.215 1.400 2.268
-2.597 -0.933 -4.251
-0.770 -4.774 1.517
Ho Pm Th
2 1 1
Direct
0.000 0.000 0.500
0.000 0.500 0.000
0.500 0.000 0.000
0.500 0.500 0.500
```


Quick one: most stable of them? version 2


Version 1
# Pm4Ho5Th

Pm4Ho5Th after structural relaxation (PBE-GGA, Alexandria).

Structure (POSCAR):
```
Pm4Ho5Th
1.0
6.158 0.000 0.000
3.079 7.424 0.000
3.079 0.000 7.424
Pm Ho Th
4 5 1
Direct
0.132 0.320 0.320
0.451 0.320 0.680
0.451 0.680 0.320
0.771 0.680 0.680
0.694 0.000 0.000
0.759 0.000 0.376
0.759 0.376 0.000
0.135 0.000 0.624
0.135 0.624 0.000
0.223 0.000 0.000
```


Version 2
# Pm4Ho5Th

Pm4Ho5Th after structural relaxation (PBE-GGA, Alexandria).

Structure (POSCAR):
```
Pm4Ho5Th
1.0
5.343 0.000 -1.221
-0.055 10.448 -0.240
-1.365 0.188 6.325
Pm Th Ho
4 1 5
Direct
0.949 0.251 0.898
0.670 0.251 0.340
0.330 0.749 0.660
0.051 0.749 0.102
0.500 0.000 0.000
0.806 0.937 0.613
0.194 0.063 0.387
0.802 0.567 0.605
0.500 0.500 0.000
0.198 0.433 0.395
```


Quick one: most stable of them? version 2